No. 1
Compound: Pr3Nd2Tm
Source: the Alexandria database
Functional: PBE
Structure: relaxed

The structure in CIF format:
```
data_Pr3Nd2Tm
_chemical_formula_sum 'Pr6 Nd4 Tm2'
_cell_length_a 3.593
_cell_length_b 6.999
_cell_length_c 17.831
_cell_angle_alpha 79.26
_cell_angle_beta 84.22
_cell_angle_gamma 75.12
_symmetry_space_group_name_H-M 'P 1'
_symmetry_Int_Tables_number 1
_symmetry_space_group_name_Hall 'P 1'
loop_
_atom_site_label
_atom_site_type_symbol
_atom_site_fract_x
_atom_site_fract_y
_atom_site_fract_z
Pr1 Pr 0.062 0.045 0.831
Pr2 Pr 0.938 0.955 0.169
Pr3 Pr 0.626 0.740 0.008
Pr4 Pr 0.374 0.260 0.992
Pr5 Pr 0.731 0.873 0.664
Pr6 Pr 0.269 0.127 0.336
Nd1 Nd 0.801 0.562 0.835
Nd2 Nd 0.199 0.438 0.165
Nd3 Nd 0.630 0.239 0.501
Nd4 Nd 0.370 0.761 0.499
Tm1 Tm 0.457 0.405 0.680
Tm2 Tm 0.543 0.595 0.320
```

## Properties
The space group is C2/m. The calculation puts the formation enthalpy at 0 K at 107 meV per atom. The calculation puts the mass density at 6.88 g cm⁻³. The total moment is 0.00 μB per formula unit. Its density of states at the Fermi level is 1.672 states/eV per atom. The energy relative to the lowest polymorph listed for this composition comes out at 0 meV/atom.

***

No. 2
Compound: PrNd6Tm4
Source: the Alexandria database
Functional: PBE
Structure: relaxed

The structure in CIF format:
```
data_PrNd6Tm4
_chemical_formula_sum 'Pr2 Nd12 Tm8'
_cell_length_a 5.855
_cell_length_b 5.680
_cell_length_c 26.014
_cell_angle_alpha 90.00
_cell_angle_beta 90.00
_cell_angle_gamma 121.02
_symmetry_space_group_name_H-M 'P 1'
_symmetry_Int_Tables_number 1
_symmetry_space_group_name_Hall 'P 1'
loop_
_atom_site_label
_atom_site_type_symbol
_atom_site_fract_x
_atom_site_fract_y
_atom_site_fract_z
Pr1 Pr 0.795 0.589 0.250
Pr2 Pr 0.205 0.411 0.750
Nd1 Nd 0.500 0.000 0.000
Nd2 Nd 0.500 0.000 0.500
Nd3 Nd 0.129 0.257 0.320
Nd4 Nd 0.871 0.743 0.680
Nd5 Nd 0.871 0.743 0.820
Nd6 Nd 0.129 0.257 0.180
Nd7 Nd 0.805 0.610 0.402
Nd8 Nd 0.195 0.390 0.598
Nd9 Nd 0.195 0.390 0.902
Nd10 Nd 0.805 0.610 0.098
Nd11 Nd 0.456 0.913 0.250
Nd12 Nd 0.544 0.087 0.750
Tm1 Tm 0.847 0.693 0.544
Tm2 Tm 0.463 0.927 0.124
Tm3 Tm 0.153 0.307 0.456
Tm4 Tm 0.537 0.073 0.876
Tm5 Tm 0.847 0.693 0.956
Tm6 Tm 0.153 0.307 0.044
Tm7 Tm 0.537 0.073 0.624
Tm8 Tm 0.463 0.927 0.376
```

## Properties
The space group is Cmcm. The calculation puts the formation enthalpy at 0 K at 107 meV per atom. The calculation puts the mass density at 7.54 g cm⁻³. The total moment is 0.00 μB per formula unit. Its density of states at the Fermi level is 1.688 states/eV per atom. The energy relative to the lowest polymorph listed for this composition comes out at 0 meV/atom.

***

No. 3
Compound: Pr6Nd3Tm
Source: the Alexandria database
Functional: PBE
Structure: relaxed

The structure in CIF format:
```
data_Pr6Nd3Tm
_chemical_formula_sum 'Pr12 Nd6 Tm2'
_cell_length_a 6.574
_cell_length_b 11.222
_cell_length_c 11.222
_cell_angle_alpha 120.88
_cell_angle_beta 90.00
_cell_angle_gamma 90.00
_symmetry_space_group_name_H-M 'P 1'
_symmetry_Int_Tables_number 1
_symmetry_space_group_name_Hall 'P 1'
loop_
_atom_site_label
_atom_site_type_symbol
_atom_site_fract_x
_atom_site_fract_y
_atom_site_fract_z
Pr1 Pr 0.058 0.712 0.629
Pr2 Pr 0.558 0.629 0.712
Pr3 Pr 0.365 0.522 0.940
Pr4 Pr 0.865 0.940 0.522
Pr5 Pr 0.365 0.966 0.034
Pr6 Pr 0.655 0.278 0.722
Pr7 Pr 0.155 0.722 0.278
Pr8 Pr 0.865 0.034 0.966
Pr9 Pr 0.365 0.060 0.478
Pr10 Pr 0.865 0.478 0.060
Pr11 Pr 0.058 0.371 0.288
Pr12 Pr 0.558 0.288 0.371
Nd1 Nd 0.464 0.943 0.710
Nd2 Nd 0.964 0.710 0.943
Nd3 Nd 0.080 0.385 0.615
Nd4 Nd 0.580 0.615 0.385
Nd5 Nd 0.964 0.057 0.290
Nd6 Nd 0.464 0.290 0.057
Tm1 Tm 0.113 0.191 0.809
Tm2 Tm 0.613 0.809 0.191
```

## Properties
The space group is Cmc2_1. The calculation puts the formation enthalpy at 0 K at 131 meV per atom. The calculation puts the mass density at 6.76 g cm⁻³. The total moment is 0.00 μB per formula unit. Its density of states at the Fermi level is 1.305 states/eV per atom. The energy relative to the lowest polymorph listed for this composition comes out at 0 meV/atom.

***

No. 4
Compound: PrNd3Tm7
Source: the Alexandria database
Functional: PBE
Structure: relaxed

The structure in CIF format:
```
data_PrNd3Tm7
_chemical_formula_sum 'Pr1 Nd3 Tm7'
_cell_length_a 8.682
_cell_length_b 7.032
_cell_length_c 7.032
_cell_angle_alpha 120.00
_cell_angle_beta 90.00
_cell_angle_gamma 90.00
_symmetry_space_group_name_H-M 'P 1'
_symmetry_Int_Tables_number 1
_symmetry_space_group_name_Hall 'P 1'
loop_
_atom_site_label
_atom_site_type_symbol
_atom_site_fract_x
_atom_site_fract_y
_atom_site_fract_z
Pr1 Pr 0.445 0.333 0.667
Nd1 Nd 0.785 0.501 0.499
Nd2 Nd 0.785 0.501 0.001
Nd3 Nd 0.785 0.999 0.499
Tm1 Tm 0.121 0.167 0.833
Tm2 Tm 0.121 0.167 0.333
Tm3 Tm 0.123 0.667 0.333
Tm4 Tm 0.443 0.833 0.167
Tm5 Tm 0.443 0.335 0.167
Tm6 Tm 0.443 0.833 0.665
Tm7 Tm 0.121 0.667 0.833
```

## Properties
The space group is P3m1. The calculation puts the formation enthalpy at 0 K at 183 meV per atom. The calculation puts the mass density at 7.84 g cm⁻³. The total moment is 0.00 μB per formula unit. Its density of states at the Fermi level is 1.464 states/eV per atom. The energy relative to the lowest polymorph listed for this composition comes out at 62 meV/atom.